The following is a DFT calculation (PBE-GGA) of crystalline Tl2HgI4 at its relaxed geometry.

The distance to the lowest polymorph of the same formula comes out at 0 meV per atom. The formation energy from raw total energies comes out at -483 meV per atom.

Structure (extended XYZ):
```
7
Lattice="0.0000 6.9491 4.9040 5.0468 0.0000 4.9040 5.0468 6.9491 0.0000" Properties=species:S:1:pos:R:3 pbc="T T T"
Tl 2.5234 3.4745 0.0000
Tl 2.5234 3.4745 4.9040
Hg 5.0468 6.9491 1.1222
I 5.0468 4.2405 2.4557
I 7.5458 6.9491 4.9136
I 5.0468 9.6576 2.4557
I 2.5478 6.9491 4.9136
```